Below is a geometry-optimized Rb2AlAuBr6 structure, with properties calculated at the PBE level.

Calculated values
V in Å³ per cell: 1250.9
Total energy in eV per atom: -2.971

CIF file:
```
data_Rb2AlAuBr6
_chemical_formula_sum 'Rb8 Al4 Au4 Br24'
_symmetry_space_group_name_H-M 'F m -3 m'
_symmetry_Int_Tables_number 225
_symmetry_space_group_name_Hall '-F 4 2 3'
_cell_length_a 10.775
_cell_length_b 10.775
_cell_length_c 10.775
_cell_angle_alpha 90.00
_cell_angle_beta 90.00
_cell_angle_gamma 90.00
loop_
_atom_site_label
_atom_site_fract_x
_atom_site_fract_y
_atom_site_fract_z
_atom_site_occupancy
Rb1 0.250 0.250 0.250 1
Al1 0.000 0.000 0.000 1
Au1 0.000 0.000 0.500 1
Br1 0.000 0.000 0.237 1
```



Below is a geometry-optimized Al3AuC structure, with properties calculated at the PBE level.

Calculated values
V in Å³ per cell: 67.6
Total energy in eV per atom: -4.642

CIF file:
```
data_Al3AuC
_chemical_formula_sum 'Al3 Au1 C1'
_symmetry_space_group_name_H-M 'P m -3 m'
_symmetry_Int_Tables_number 221
_symmetry_space_group_name_Hall '-P 4 2 3'
_cell_length_a 4.074
_cell_length_b 4.074
_cell_length_c 4.074
_cell_angle_alpha 90.00
_cell_angle_beta 90.00
_cell_angle_gamma 90.00
loop_
_atom_site_label
_atom_site_fract_x
_atom_site_fract_y
_atom_site_fract_z
_atom_site_occupancy
Al1 0.000 0.000 0.500 1
Au1 0.500 0.500 0.500 1
C1 0.000 0.000 0.000 1
```



Below is a geometry-optimized Hf4AlAuC2 structure, with properties calculated at the PBE level.

Calculated values
V in Å³ per cell: 132.7
Total energy in eV per atom: -8.863
Total magnetic moment in μB per cell: 0.01

CIF file:
```
data_Hf4AlAuC2
_chemical_formula_sum 'Hf4 Al1 Au1 C2'
_symmetry_space_group_name_H-M 'P -6 m 2'
_symmetry_Int_Tables_number 187
_symmetry_space_group_name_Hall 'P -6 2'
_cell_length_a 3.2739
_cell_length_b 3.2739
_cell_length_c 14.2950
_cell_angle_alpha 90.00
_cell_angle_beta 90.00
_cell_angle_gamma 120.00
loop_
_atom_site_label
_atom_site_fract_x
_atom_site_fract_y
_atom_site_fract_z
_atom_site_occupancy
Hf1 0.0000 0.0000 0.1593 1
Hf2 0.6667 0.3333 0.3370 1
Al1 0.0000 0.0000 0.5000 1
Au1 0.6667 0.3333 0.0000 1
C1 0.3333 0.6667 0.2488 1
```



Below is a geometry-optimized Nb4AlAuC2 structure, with properties calculated at the PBE level.

Calculated values
V in Å³ per cell: 120.2
Total energy in eV per atom: -8.679
Total magnetic moment in μB per cell: 0.00

CIF file:
```
data_Nb4AlAuC2
_chemical_formula_sum 'Nb4 Al1 Au1 C2'
_symmetry_space_group_name_H-M 'P -6 m 2'
_symmetry_Int_Tables_number 187
_symmetry_space_group_name_Hall 'P -6 2'
_cell_length_a 3.1660
_cell_length_b 3.1660
_cell_length_c 13.8485
_cell_angle_alpha 90.00
_cell_angle_beta 90.00
_cell_angle_gamma 120.00
loop_
_atom_site_label
_atom_site_fract_x
_atom_site_fract_y
_atom_site_fract_z
_atom_site_occupancy
Nb1 0.0000 0.0000 0.1607 1
Nb2 0.3333 0.6667 0.3356 1
Al1 0.3333 0.6667 0.0000 1
Au1 0.0000 0.0000 0.5000 1
C1 0.6667 0.3333 0.2496 1
```



Below is a geometry-optimized Sc4AlAuC2 structure, with properties calculated at the PBE level.

Calculated values
V in Å³ per cell: 138.0
Total energy in eV per atom: -6.871
Total magnetic moment in μB per cell: 0.03

CIF file:
```
data_Sc4AlAuC2
_chemical_formula_sum 'Sc4 Al1 Au1 C2'
_symmetry_space_group_name_H-M 'P -6 m 2'
_symmetry_Int_Tables_number 187
_symmetry_space_group_name_Hall 'P -6 2'
_cell_length_a 3.3546
_cell_length_b 3.3546
_cell_length_c 14.1646
_cell_angle_alpha 90.00
_cell_angle_beta 90.00
_cell_angle_gamma 120.00
loop_
_atom_site_label
_atom_site_fract_x
_atom_site_fract_y
_atom_site_fract_z
_atom_site_occupancy
Sc1 0.0000 0.0000 0.1566 1
Sc2 0.6667 0.3333 0.3294 1
Al1 0.0000 0.0000 0.5000 1
Au1 0.6667 0.3333 0.0000 1
C1 0.3333 0.6667 0.2389 1
```



Below is a geometry-optimized Ta4AlAuC2 structure, with properties calculated at the PBE level.

Calculated values
V in Å³ per cell: 118.1
Total energy in eV per atom: -9.594
Total magnetic moment in μB per cell: 0.00

CIF file:
```
data_Ta4AlAuC2
_chemical_formula_sum 'Ta4 Al1 Au1 C2'
_symmetry_space_group_name_H-M 'P -6 m 2'
_symmetry_Int_Tables_number 187
_symmetry_space_group_name_Hall 'P -6 2'
_cell_length_a 3.1376
_cell_length_b 3.1376
_cell_length_c 13.8508
_cell_angle_alpha 90.00
_cell_angle_beta 90.00
_cell_angle_gamma 120.00
loop_
_atom_site_label
_atom_site_fract_x
_atom_site_fract_y
_atom_site_fract_z
_atom_site_occupancy
Ta1 0.0000 0.0000 0.1605 1
Ta2 0.6667 0.3333 0.3363 1
Al1 0.6667 0.3333 0.0000 1
Au1 0.0000 0.0000 0.5000 1
C1 0.3333 0.6667 0.2497 1
```